Density functional theory data (PBE) for a relaxed structure of HfBPC2.

abc: 4.272 4.272 5.039
angles: 90.00 90.00 90.00
Space group P4/mmm (No. 123)
Inequivalent atoms, fractional coordinates:
Hf: 0.000 0.000 0.000 [1 per cell]
B: 0.500 0.500 0.500 [1 per cell]
P: 0.000 0.000 0.500 [1 per cell]
C: 0.000 0.500 0.000 [2 per cell]

raw total energy = -5.7263 eV/atom
ΔH_f (0 K) = 11.86 eV per formula unit

Density functional theory data (PBE) for a relaxed structure of CaCeCd.

abc: 5.4767 5.4767 3.4335
angles: 90.00 90.00 120.00
Space group P3m1 (No. 156)
Inequivalent atoms, fractional coordinates:
Ca: 0.0000 0.0000 0.0000 [1 per cell]
Ce: 0.6667 0.3333 0.4122 [1 per cell]
Cd: 0.3333 0.6667 0.7853 [1 per cell]

raw total energy = -2.8965 eV/atom
ΔH_f (0 K) = 0.16 eV per formula unit

Density functional theory data (PBE) for a relaxed structure of LaBe2Mo.

abc: 7.870 3.654 5.322
angles: 90.00 109.17 90.00
Space group C2/m (No. 12)
Inequivalent atoms, fractional coordinates:
La: 0.000 0.000 0.000 [2 per cell]
Be: 0.212 0.000 0.578 [4 per cell]
Mo: 0.000 0.500 0.500 [2 per cell]

raw total energy = -5.5592 eV/atom
ΔH_f (0 K) = 0.97 eV per formula unit

Density functional theory data (PBE) for a relaxed structure of AcEuGdCd.

abc: 8.110 8.110 8.110
angles: 90.00 90.00 90.00
Space group F-43m (No. 216)
Inequivalent atoms, fractional coordinates:
Ac: 0.000 0.000 0.000 [4 per cell]
Eu: 0.250 0.250 0.250 [4 per cell]
Gd: 0.250 0.250 0.750 [4 per cell]
Cd: 0.000 0.000 0.500 [4 per cell]

raw total energy = -7.3035 eV/atom
ΔH_f (0 K) = 0.16 eV per formula unit

Density functional theory data (PBE) for a relaxed structure of TaBe2Au2.

abc: 7.275 7.275 2.744
angles: 90.00 90.00 90.00
Space group P4/mbm (No. 127)
Inequivalent atoms, fractional coordinates:
Ta: 0.000 0.000 0.000 [2 per cell]
Be: 0.166 0.334 0.500 [4 per cell]
Au: 0.135 0.635 0.000 [4 per cell]

raw total energy = -5.0795 eV/atom
ΔH_f (0 K) = 0.46 eV per formula unit

Density functional theory data (PBE) for a relaxed structure of Rb2Cu2Te3.

abc: 4.005 6.887 8.657
angles: 71.49 90.00 73.13
Space group P-1 (No. 2)
Inequivalent atoms, fractional coordinates:
Rb: 0.093 0.314 0.369 [2 per cell]
Cu: 0.147 0.205 0.958 [2 per cell]
Te: 0.326 0.849 0.226 [2 per cell]
Te: 0.500 0.500 0.000 [1 per cell]

raw total energy = -3.1892 eV/atom
energy relative to the elements, uncorrected = -0.40 eV per atom

Density functional theory data (PBE) for a relaxed structure of LiBi2Rh2.

abc: 4.179 4.179 13.468
angles: 90.00 90.00 90.00
Space group I4/mmm (No. 139)
Inequivalent atoms, fractional coordinates:
Li: 0.000 0.000 0.000 [2 per cell]
Bi: 0.000 0.000 0.376 [4 per cell]
Rh: 0.000 0.500 0.250 [4 per cell]

raw total energy = -5.0052 eV/atom
ΔH_f (0 K) = -0.65 eV per formula unit

Density functional theory data (PBE) for a relaxed structure of LiCaRh2.

abc: 3.118 4.475 4.700
angles: 90.00 90.00 90.00
Space group Pmmm (No. 47)
Inequivalent atoms, fractional coordinates:
Li: 0.000 0.000 0.000 [1 per cell]
Ca: 0.500 0.000 0.500 [1 per cell]
Rh: 0.000 0.500 0.500 [1 per cell]
Rh: 0.500 0.500 0.000 [1 per cell]

raw total energy = -4.7489 eV/atom
ΔH_f (0 K) = -0.38 eV per formula unit

The highest raw total energy belongs to which entry?
CaCeCd